! KTcOF2, relaxed, DFT PBE; values from VASP
&SYSTEM
  ibrav = 0, nat = 5, ntyp = 4
/
ATOMIC_SPECIES
K 39.10 K.upf
Tc 98.00 Tc.upf
O 16.00 O.upf
F 19.00 F.upf
ATOMIC_POSITIONS crystal
K 0.000 0.000 0.000
Tc 0.500 0.500 0.500
O 0.500 0.500 0.000
F 0.000 0.500 0.500
F 0.500 0.000 0.500
CELL_PARAMETERS angstrom
4.329 0.000 0.000
0.000 4.329 0.000
0.000 0.000 3.814
! Space-group type: No. 123
! Energy relative to the lowest polymorph listed for this composition in meV/atom: 0

***

! KTcO2F, relaxed, DFT PBE; values from VASP
&SYSTEM
  ibrav = 0, nat = 5, ntyp = 4
/
ATOMIC_SPECIES
K 39.10 K.upf
Tc 98.00 Tc.upf
O 16.00 O.upf
F 19.00 F.upf
ATOMIC_POSITIONS crystal
K 0.000 0.000 0.000
Tc 0.500 0.500 0.500
O 0.000 0.500 0.000
O 0.500 0.000 0.000
F 0.000 0.000 0.500
CELL_PARAMETERS angstrom
4.520 0.000 0.000
0.000 4.520 0.000
0.000 0.000 4.548
! Space-group type: No. 123

***

! KTcOF2, relaxed, DFT PBE; values from VASP
&SYSTEM
  ibrav = 0, nat = 5, ntyp = 4
/
ATOMIC_SPECIES
K 39.10 K.upf
Tc 98.00 Tc.upf
O 16.00 O.upf
F 19.00 F.upf
ATOMIC_POSITIONS crystal
K 0.000 0.000 0.000
Tc 0.000 0.000 0.500
O 0.500 0.500 0.000
F 0.000 0.500 0.500
F 0.500 0.000 0.500
CELL_PARAMETERS angstrom
4.045 0.000 0.000
0.000 4.045 0.000
0.000 0.000 7.259
! Space-group type: No. 123
! Energy relative to the lowest polymorph listed for this composition in meV/atom: 1032

***

! KTcOF2, relaxed, DFT PBE; values from VASP
&SYSTEM
  ibrav = 0, nat = 5, ntyp = 4
/
ATOMIC_SPECIES
K 39.10 K.upf
Tc 98.00 Tc.upf
O 16.00 O.upf
F 19.00 F.upf
ATOMIC_POSITIONS crystal
K 0.000 0.000 0.000
Tc 0.500 0.500 0.500
O 0.000 0.000 0.500
F 0.000 0.500 0.000
F 0.500 0.000 0.000
CELL_PARAMETERS angstrom
4.571 0.000 0.000
0.000 4.571 0.000
0.000 0.000 4.265
! Space-group type: No. 123
! Energy relative to the lowest polymorph listed for this composition in meV/atom: 1774

***

! KTcO2F, relaxed, DFT PBE; values from VASP
&SYSTEM
  ibrav = 0, nat = 5, ntyp = 4
/
ATOMIC_SPECIES
K 39.10 K.upf
Tc 98.00 Tc.upf
O 16.00 O.upf
F 19.00 F.upf
ATOMIC_POSITIONS crystal
K 0.000 0.000 0.000
Tc 0.500 0.500 0.500
O 0.000 0.500 0.500
O 0.500 0.000 0.500
F 0.500 0.500 0.000
CELL_PARAMETERS angstrom
3.849 0.000 0.000
0.000 3.849 0.000
0.000 0.000 4.609
! Space-group type: No. 123

***

! KTeO2F, relaxed, DFT PBE; values from VASP
&SYSTEM
  ibrav = 0, nat = 60, ntyp = 4
/
ATOMIC_SPECIES
K 39.10 K.upf
Te 127.60 Te.upf
O 16.00 O.upf
F 19.00 F.upf
ATOMIC_POSITIONS crystal
K 0.161 0.184 0.371
K 0.161 0.316 0.871
K 0.214 0.685 0.485
K 0.214 0.815 0.985
K 0.331 0.070 0.101
K 0.331 0.430 0.601
K 0.669 0.570 0.399
K 0.669 0.930 0.899
K 0.786 0.185 0.015
K 0.786 0.315 0.515
K 0.839 0.684 0.129
K 0.839 0.816 0.629
Te 0.081 0.052 0.784
Te 0.081 0.448 0.284
Te 0.322 0.537 0.097
Te 0.322 0.963 0.597
Te 0.421 0.187 0.700
Te 0.421 0.313 0.200
Te 0.579 0.687 0.800
Te 0.579 0.813 0.300
Te 0.678 0.037 0.403
Te 0.678 0.463 0.903
Te 0.919 0.552 0.716
Te 0.919 0.948 0.216
O 0.162 0.522 0.404
O 0.162 0.978 0.904
O 0.171 0.243 0.179
O 0.171 0.257 0.679
O 0.191 0.550 0.204
O 0.191 0.950 0.704
O 0.262 0.100 0.586
O 0.262 0.400 0.086
O 0.365 0.028 0.314
O 0.365 0.472 0.814
O 0.380 0.110 0.822
O 0.380 0.390 0.322
O 0.620 0.610 0.678
O 0.620 0.890 0.178
O 0.635 0.528 0.186
O 0.635 0.972 0.686
O 0.738 0.600 0.914
O 0.738 0.900 0.414
O 0.809 0.050 0.296
O 0.809 0.450 0.796
O 0.829 0.743 0.321
O 0.829 0.757 0.821
O 0.838 0.022 0.096
O 0.838 0.478 0.596
F 0.004 0.149 0.881
F 0.004 0.351 0.381
F 0.352 0.676 0.112
F 0.352 0.824 0.612
F 0.460 0.240 0.070
F 0.460 0.260 0.570
F 0.540 0.740 0.430
F 0.540 0.760 0.930
F 0.648 0.176 0.388
F 0.648 0.324 0.888
F 0.996 0.649 0.619
F 0.996 0.851 0.119
CELL_PARAMETERS angstrom
6.348 0.000 0.000
0.000 15.203 0.000
-5.465 0.000 12.127
! Space-group type: No. 14

***

! KTeOF2, relaxed, DFT PBE; values from VASP
&SYSTEM
  ibrav = 0, nat = 5, ntyp = 4
/
ATOMIC_SPECIES
K 39.10 K.upf
Te 127.60 Te.upf
O 16.00 O.upf
F 19.00 F.upf
ATOMIC_POSITIONS crystal
K 0.000 0.000 0.000
Te 0.500 0.500 0.500
O 0.500 0.500 0.000
F 0.000 0.500 0.500
F 0.500 0.000 0.500
CELL_PARAMETERS angstrom
4.820 0.000 0.000
0.000 4.820 0.000
0.000 0.000 4.134
! Space-group type: No. 123
! Energy relative to the lowest polymorph listed for this composition in meV/atom: 0

***

! KTeO2F, relaxed, DFT PBE; values from VASP
&SYSTEM
  ibrav = 0, nat = 5, ntyp = 4
/
ATOMIC_SPECIES
K 39.10 K.upf
Te 127.60 Te.upf
O 16.00 O.upf
F 19.00 F.upf
ATOMIC_POSITIONS crystal
K 0.000 0.000 0.000
Te 0.500 0.500 0.500
O 0.000 0.500 0.000
O 0.500 0.000 0.000
F 0.000 0.000 0.500
CELL_PARAMETERS angstrom
4.570 0.000 0.000
0.000 4.570 0.000
0.000 0.000 4.457
! Space-group type: No. 123

***

! KTeO2F, relaxed, DFT PBE; values from VASP
&SYSTEM
  ibrav = 0, nat = 5, ntyp = 4
/
ATOMIC_SPECIES
K 39.10 K.upf
Te 127.60 Te.upf
O 16.00 O.upf
F 19.00 F.upf
ATOMIC_POSITIONS crystal
K 0.000 0.000 0.000
Te 0.000 0.000 0.500
O 0.000 0.500 0.500
O 0.500 0.000 0.500
F 0.500 0.500 0.000
CELL_PARAMETERS angstrom
3.981 0.000 0.000
0.000 3.981 0.000
0.000 0.000 8.590
! Space-group type: No. 123

***

! KTeO2F, relaxed, DFT PBE; values from VASP
&SYSTEM
  ibrav = 0, nat = 5, ntyp = 4
/
ATOMIC_SPECIES
K 39.10 K.upf
Te 127.60 Te.upf
O 16.00 O.upf
F 19.00 F.upf
ATOMIC_POSITIONS crystal
K 0.000 0.000 0.000
Te 0.500 0.500 0.500
O 0.000 0.500 0.500
O 0.500 0.000 0.500
F 0.500 0.500 0.000
CELL_PARAMETERS angstrom
4.188 0.000 0.000
0.000 4.188 0.000
0.000 0.000 4.703
! Space-group type: No. 123

***

! KTe2OF, relaxed, DFT PBE; values from VASP
&SYSTEM
  ibrav = 0, nat = 5, ntyp = 4
/
ATOMIC_SPECIES
K 39.10 K.upf
Te 127.60 Te.upf
O 16.00 O.upf
F 19.00 F.upf
ATOMIC_POSITIONS crystal
K 0.000 0.000 0.000
Te 0.000 0.500 0.000
Te 0.500 0.000 0.000
O 0.000 0.000 0.500
F 0.500 0.500 0.500
CELL_PARAMETERS angstrom
6.625 0.000 0.000
0.000 6.625 0.000
0.000 0.000 4.672
! Space-group type: No. 123

***

! KTeOF2, relaxed, DFT PBE; values from VASP
&SYSTEM
  ibrav = 0, nat = 5, ntyp = 4
/
ATOMIC_SPECIES
K 39.10 K.upf
Te 127.60 Te.upf
O 16.00 O.upf
F 19.00 F.upf
ATOMIC_POSITIONS crystal
K 0.000 0.000 0.000
Te 0.500 0.500 0.500
O 0.000 0.000 0.500
F 0.000 0.500 0.000
F 0.500 0.000 0.000
CELL_PARAMETERS angstrom
4.527 0.000 0.000
0.000 4.527 0.000
0.000 0.000 4.696
! Space-group type: No. 123
! Energy relative to the lowest polymorph listed for this composition in meV/atom: 1358

***

! K2TeOF4, relaxed, DFT PBE; values from VASP
&SYSTEM
  ibrav = 0, nat = 16, ntyp = 4
/
ATOMIC_SPECIES
K 39.10 K.upf
Te 127.60 Te.upf
O 16.00 O.upf
F 19.00 F.upf
ATOMIC_POSITIONS crystal
K 0.073 0.927 0.750
K 0.251 0.749 0.250
K 0.749 0.251 0.750
K 0.927 0.073 0.250
Te 0.390 0.610 0.750
Te 0.610 0.390 0.250
O 0.263 0.737 0.750
O 0.737 0.263 0.250
F 0.152 0.377 0.533
F 0.152 0.377 0.967
F 0.377 0.152 0.033
F 0.377 0.152 0.467
F 0.623 0.848 0.533
F 0.623 0.848 0.967
F 0.848 0.623 0.033
F 0.848 0.623 0.467
CELL_PARAMETERS angstrom
3.213 -7.134 0.000
3.213 7.134 0.000
0.000 0.000 6.721
! Space-group type: No. 63

***

! K3Ti2O3F4, relaxed, DFT PBE; values from VASP
&SYSTEM
  ibrav = 0, nat = 12, ntyp = 4
/
ATOMIC_SPECIES
K 39.10 K.upf
Ti 47.87 Ti.upf
O 16.00 O.upf
F 19.00 F.upf
ATOMIC_POSITIONS crystal
K 0.000 0.000 0.000
K 0.187 0.187 0.000
K 0.813 0.813 0.000
Ti 0.412 0.412 0.000
Ti 0.588 0.588 0.000
O 0.404 0.904 0.500
O 0.500 0.500 0.000
O 0.596 0.096 0.500
F 0.094 0.594 0.500
F 0.312 0.312 0.000
F 0.688 0.688 0.000
F 0.906 0.406 0.500
CELL_PARAMETERS angstrom
-1.922 2.090 10.787
1.922 -2.090 10.787
1.922 2.090 -10.787
! Space-group type: No. 71

***

! K3TiO4F3, relaxed, DFT PBE; values from VASP
&SYSTEM
  ibrav = 0, nat = 22, ntyp = 4
/
ATOMIC_SPECIES
K 39.10 K.upf
Ti 47.87 Ti.upf
O 16.00 O.upf
F 19.00 F.upf
ATOMIC_POSITIONS crystal
K 0.203 0.797 0.750
K 0.298 0.298 0.000
K 0.298 0.298 0.500
K 0.702 0.702 0.000
K 0.702 0.702 0.500
K 0.797 0.203 0.250
Ti 0.241 0.759 0.250
Ti 0.759 0.241 0.750
O 0.030 0.552 0.250
O 0.065 0.222 0.750
O 0.222 0.065 0.250
O 0.448 0.970 0.250
O 0.552 0.030 0.750
O 0.778 0.935 0.750
O 0.935 0.778 0.250
O 0.970 0.448 0.750
F 0.262 0.738 0.032
F 0.262 0.738 0.468
F 0.480 0.520 0.250
F 0.520 0.480 0.750
F 0.738 0.262 0.532
F 0.738 0.262 0.968
CELL_PARAMETERS angstrom
4.763 -4.195 0.000
4.763 4.195 0.000
0.000 0.000 8.967
! Space-group type: No. 63

***

! K2TiO3F4, relaxed, DFT PBE; values from VASP
&SYSTEM
  ibrav = 0, nat = 40, ntyp = 4
/
ATOMIC_SPECIES
K 39.10 K.upf
Ti 47.87 Ti.upf
O 16.00 O.upf
F 19.00 F.upf
ATOMIC_POSITIONS crystal
K 0.075 0.545 0.166
K 0.179 0.690 0.869
K 0.310 0.821 0.631
K 0.455 0.925 0.334
K 0.545 0.075 0.666
K 0.690 0.179 0.369
K 0.821 0.310 0.131
K 0.925 0.455 0.834
Ti 0.160 0.498 0.468
Ti 0.498 0.160 0.968
Ti 0.502 0.840 0.032
Ti 0.840 0.502 0.532
O 0.031 0.750 0.423
O 0.081 0.862 0.196
O 0.138 0.919 0.304
O 0.250 0.969 0.077
O 0.262 0.572 0.418
O 0.428 0.738 0.082
O 0.572 0.262 0.918
O 0.738 0.428 0.582
O 0.750 0.031 0.923
O 0.862 0.081 0.696
O 0.919 0.138 0.804
O 0.969 0.250 0.577
F 0.103 0.372 0.306
F 0.151 0.313 0.518
F 0.221 0.464 0.978
F 0.225 0.581 0.638
F 0.313 0.151 0.018
F 0.372 0.103 0.806
F 0.419 0.775 0.862
F 0.464 0.221 0.478
F 0.536 0.779 0.522
F 0.581 0.225 0.138
F 0.628 0.897 0.194
F 0.687 0.849 0.982
F 0.775 0.419 0.362
F 0.779 0.536 0.022
F 0.849 0.687 0.482
F 0.897 0.628 0.694
CELL_PARAMETERS angstrom
8.806 -3.362 0.000
8.806 3.362 0.000
-5.663 0.000 10.955
! Space-group type: No. 15

***

! KTi2OF, relaxed, DFT PBE; values from VASP
&SYSTEM
  ibrav = 0, nat = 5, ntyp = 4
/
ATOMIC_SPECIES
K 39.10 K.upf
Ti 47.87 Ti.upf
O 16.00 O.upf
F 19.00 F.upf
ATOMIC_POSITIONS crystal
K 0.000 0.000 0.000
Ti 0.000 0.500 0.500
Ti 0.500 0.000 0.500
O 0.500 0.500 0.500
F 0.500 0.500 0.000
CELL_PARAMETERS angstrom
3.898 0.000 0.000
0.000 3.898 0.000
0.000 0.000 7.489
! Space-group type: No. 123

***

! K2TiO2F4, relaxed, DFT PBE; values from VASP
&SYSTEM
  ibrav = 0, nat = 18, ntyp = 4
/
ATOMIC_SPECIES
K 39.10 K.upf
Ti 47.87 Ti.upf
O 16.00 O.upf
F 19.00 F.upf
ATOMIC_POSITIONS crystal
K 0.008 0.444 0.250
K 0.444 0.008 0.750
K 0.556 0.992 0.250
K 0.992 0.556 0.750
Ti 0.500 0.500 0.000
Ti 0.500 0.500 0.500
O 0.169 0.831 0.250
O 0.450 0.550 0.250
O 0.550 0.450 0.750
O 0.831 0.169 0.750
F 0.271 0.729 0.557
F 0.271 0.729 0.943
F 0.302 0.302 0.000
F 0.302 0.302 0.500
F 0.698 0.698 0.000
F 0.698 0.698 0.500
F 0.729 0.271 0.057
F 0.729 0.271 0.443
CELL_PARAMETERS angstrom
4.903 -4.048 0.000
4.903 4.048 0.000
0.000 0.000 7.620
! Space-group type: No. 63

***

! KTlOF2, relaxed, DFT PBE; values from VASP
&SYSTEM
  ibrav = 0, nat = 5, ntyp = 4
/
ATOMIC_SPECIES
K 39.10 K.upf
Tl 204.38 Tl.upf
O 16.00 O.upf
F 19.00 F.upf
ATOMIC_POSITIONS crystal
K 0.000 0.000 0.000
Tl 0.500 0.500 0.500
O 0.000 0.000 0.500
F 0.000 0.500 0.000
F 0.500 0.000 0.000
CELL_PARAMETERS angstrom
4.926 0.000 0.000
0.000 4.926 0.000
0.000 0.000 4.963
! Space-group type: No. 123
! Energy relative to the lowest polymorph listed for this composition in meV/atom: 795

***

! KTlO2F, relaxed, DFT PBE; values from VASP
&SYSTEM
  ibrav = 0, nat = 5, ntyp = 4
/
ATOMIC_SPECIES
K 39.10 K.upf
Tl 204.38 Tl.upf
O 16.00 O.upf
F 19.00 F.upf
ATOMIC_POSITIONS crystal
K 0.000 0.000 0.000
Tl 0.500 0.500 0.500
O 0.000 0.500 0.500
O 0.500 0.000 0.500
F 0.500 0.500 0.000
CELL_PARAMETERS angstrom
4.246 0.000 0.000
0.000 4.246 0.000
0.000 0.000 4.758
! Space-group type: No. 123

***

! KTlO2F, relaxed, DFT PBE; values from VASP
&SYSTEM
  ibrav = 0, nat = 5, ntyp = 4
/
ATOMIC_SPECIES
K 39.10 K.upf
Tl 204.38 Tl.upf
O 16.00 O.upf
F 19.00 F.upf
ATOMIC_POSITIONS crystal
K 0.000 0.000 0.000
Tl 0.500 0.500 0.500
O 0.000 0.500 0.000
O 0.500 0.000 0.000
F 0.000 0.000 0.500
CELL_PARAMETERS angstrom
4.949 0.000 0.000
0.000 4.949 0.000
0.000 0.000 4.871
! Space-group type: No. 123

***

Let's list total DFT energy (no corrections) in order: -29.2, -20.1, -24.1, -20.4, -32.0, -296.1, -21.3, -14.6, -22.2, -23.6, -11.0, -14.5, -72.5, -76.0, -123.0, -226.8, -30.5, -99.2, -16.9, -20.7, -16.4 eV for the cell shown.
Let's list energy relative to the elements, uncorrected in order: -1.81, 0.64, -0.78, -0.04, -1.75, -1.73, -1.66, 0.29, -1.24, -1.52, 0.65, -0.31, -2.31, -2.88, -2.26, -2.42, -1.37, -2.46, -0.94, -1.09, -0.24 eV per atom.